VASP calculation (PBE) on a relaxed TbPr6Tm2 crystal.

As for the offset from the most stable computed form: 95 meV/atom. For the formation energy from the elements, the calculation gives 176 meV/atom. Its magnetization is 0.00 μB per formula unit. The electronic total energy comes out at -0.1660 Ha/atom.

It has space group C2/m (No. 12), with a = 11.884 Å, b = 3.488 Å, c = 15.584 Å, α = 90.00°, β = 102.39° and γ = 90.00°. Symmetry generates all atoms from Tb at (0.000, 0.000, 0.000), Pr at (0.041, 0.000, 0.231), Pr at (0.126, 0.500, 0.437), Pr at (0.208, 0.500, 0.895) and Tm at (0.167, 0.500, 0.666).